# PBE Au4Se5, relaxed
data_Au4Se5
_chemical_formula_sum 'Au8 Se10'
_cell_length_a 7.6769
_cell_length_b 7.6769
_cell_length_c 7.5454
_cell_angle_alpha 90.00
_cell_angle_beta 90.00
_cell_angle_gamma 120.00
_space_group_name_H-M_alt 'P 1'
_space_group_IT_number 1
_space_group_name_Hall 'P 1'
loop_
_atom_site_label
_atom_site_fract_x
_atom_site_fract_y
_atom_site_fract_z
_atom_site_occupancy
Au1 0.0000 0.0000 0.0000 1
Au2 0.0000 0.0000 0.5000 1
Au3 0.0000 0.4137 0.2500 1
Au4 0.0000 0.5863 0.7500 1
Au5 0.4137 0.0000 0.2500 1
Au6 0.4137 0.4137 0.7500 1
Au7 0.5863 0.0000 0.7500 1
Au8 0.5863 0.5863 0.2500 1
Se1 0.0000 0.2462 0.7500 1
Se2 0.0000 0.7538 0.2500 1
Se3 0.2462 0.0000 0.7500 1
Se4 0.2462 0.2462 0.2500 1
Se5 0.3333 0.6667 0.0000 1
Se6 0.3333 0.6667 0.5000 1
Se7 0.6667 0.3333 0.0000 1
Se8 0.6667 0.3333 0.5000 1
Se9 0.7538 0.0000 0.2500 1
Se10 0.7538 0.7538 0.7500 1
# V = 21.39 Å³/atom
# DOS at the Fermi energy = 0.87 states/eV per atom
# Calculated total energy = -3.11 eV/atom
# Energy relative to the elements, uncorrected = 287 meV per atom